Record 1
Entry from Alexandria: a relaxed ScMn2CoAs crystal (PBE).

Calculated values
**Total magnetization**: 7.60 Bohr magnetons per cell
**DFT formation energy**: 1.29 eV/atom
**Final energy**: -0.2204 hartree per atom

Lattice parameters (Å, degrees): 4.739 4.295 4.739 90.00 90.00 90.00
Last column: magnetic moment on the atom in μB.
Atoms (fractional coordinates):
Sc  0.000  0.000  0.000  -0.49
As  0.500  0.500  0.500  -0.05
Co  0.000  0.500  0.000  0.95
Mn  0.000  0.000  0.500  3.27
Mn  0.500  0.000  0.000  3.64


Record 2
Entry from Alexandria: a relaxed Th2MnCo4As3 crystal (PBE).

Calculated values
**Total magnetization**: 3.09 Bohr magnetons per cell
**DFT formation energy**: -0.66 eV/atom
**Final energy**: -0.2684 hartree per atom

Lattice parameters (Å, degrees): 4.079 4.079 9.685 90.00 90.00 90.00
Last column: magnetic moment on the atom in μB.
Atoms (fractional coordinates):
Th  0.000  0.500  0.751  -0.08
Th  0.500  0.000  0.249  -0.08
Co  0.500  0.000  0.622  -0.08
Co  0.000  0.000  0.000  0.65
Co  0.500  0.500  0.000  0.63
Co  0.000  0.500  0.378  -0.08
Mn  0.500  0.500  0.500  2.20
As  0.000  0.000  0.500  0.00
As  0.500  0.000  0.869  0.00
As  0.000  0.500  0.131  0.00